Record 1
! YTm4Ir2, optimized geometry, DFT GGA-PBE; values from VASP
&SYSTEM
  ibrav = 0, nat = 14, ntyp = 3
/
ATOMIC_SPECIES
Y 88.91 Y.upf
Tm 168.93 Tm.upf
Ir 192.22 Ir.upf
ATOMIC_POSITIONS crystal
Y 0.250 0.841 0.976
Y 0.750 0.159 0.024
Tm 0.502 0.417 0.762
Tm 0.250 0.252 0.335
Tm 0.750 0.748 0.665
Tm 0.998 0.417 0.762
Tm 0.750 0.016 0.381
Tm 0.002 0.583 0.238
Tm 0.498 0.583 0.238
Tm 0.250 0.984 0.619
Ir 0.250 0.262 0.984
Ir 0.750 0.738 0.016
Ir 0.750 0.374 0.414
Ir 0.250 0.626 0.586
CELL_PARAMETERS angstrom
6.236 0.000 0.000
0.000 7.295 -2.969
0.000 -0.056 7.747
! total DFT energy (no corrections): -6.60 eV per atom
! formation enthalpy at 0 K: -0.589 eV per atom
! calculated volume: 351 Å³ per cell
! density: 10.86 g/cm³

=====

Record 2
! YTm2Ir2, optimized geometry, DFT GGA-PBE; values from VASP
&SYSTEM
  ibrav = 0, nat = 5, ntyp = 3
/
ATOMIC_SPECIES
Y 88.91 Y.upf
Tm 168.93 Tm.upf
Ir 192.22 Ir.upf
ATOMIC_POSITIONS crystal
Y 0.500 0.000 0.000
Tm 0.833 0.333 0.663
Tm 0.167 0.667 0.337
Ir 0.833 0.333 0.174
Ir 0.167 0.667 0.826
CELL_PARAMETERS angstrom
4.757 0.014 -0.009
2.367 4.126 -0.009
0.009 0.005 5.921
! total DFT energy (no corrections): -7.44 eV per atom
! formation enthalpy at 0 K: -0.815 eV per atom
! calculated volume: 116 Å³ per cell
! excess energy over the best structure of this formula in the dataset: 0 meV per atom
! density: 11.61 g/cm³

=====

> density of number 1 (YTm4Ir2)?

10.86 g/cm³